A geometry-optimized CsSrLi2 structure, computed with PBE.

## Properties
For the density of states at the Fermi level, the calculation gives 2.56 states/eV per cell. Its symmetry is Fm-3m (225). As for the energy above the most stable polymorph in this dataset: 91.6 meV/atom. As for the uncorrected energy: -0.0502 Ha/atom. The crystal system is cubic.

a b c (Å): 6.4719 6.4719 6.4719
angles (deg): 60.00 60.00 60.00
Atoms (fractional coordinates):
1 Cs 0.5000 0.5000 0.5000
2 Sr 0.0000 0.0000 0.0000
3 Li 0.2500 0.2500 0.2500
4 Li 0.7500 0.7500 0.7500

***

A geometry-optimized CsSr2Li structure, computed with PBE.

## Properties
For the density of states at the Fermi level, the calculation gives 4.31 states/eV per cell. Its symmetry is P4/mmm (123). As for the uncorrected energy: -0.0521 Ha/atom. The crystal system is tetragonal.

a b c (Å): 4.3604 4.3604 11.7350
angles (deg): 90.00 90.00 90.00
Atoms (fractional coordinates):
1 Cs 0.5000 0.5000 0.5000
2 Sr 0.0000 0.0000 0.8270
3 Sr 0.0000 0.0000 0.1730
4 Li 0.5000 0.5000 0.0000

***

| no. | energy of formation (meV per atom) |
| --- | --- |
| 1 | 226 |
| 2 | 116 |